LaFe3B4O12 | GGA+U | optimized geometry

a = 6.1756 Å, b = 6.1756 Å, c = 6.1756 Å
α = 103.69°, β = 103.69°, γ = 103.69°
Last column: nearest neighbours and their distance in Å.
Element x y z (fractional)
B1 0.0547 0.9453 0.5000  3 O 1.38-1.39
B2 0.9453 0.5000 0.0547  3 O 1.38-1.39
B3 0.5000 0.0547 0.9453  3 O 1.38-1.39
B4 0.5000 0.5000 0.5000  3 O 1.39
O1 0.6230 0.0289 0.7867  1 B 1.38
O2 0.3567 0.5000 0.6433  1 B 1.39
O3 0.7867 0.6230 0.0289  1 B 1.38
O4 0.9711 0.3770 0.2133  1 B 1.38
O5 0.5000 0.9112 0.0888  1 B 1.39
O6 0.2133 0.9711 0.3770  1 B 1.38
O7 0.5000 0.6433 0.3567  1 B 1.39
O8 0.9112 0.0888 0.5000  1 B 1.39
O9 0.6433 0.3567 0.5000  1 B 1.39
O10 0.0888 0.5000 0.9112  1 B 1.39
O11 0.3770 0.2133 0.9711  1 B 1.38
O12 0.0289 0.7867 0.6230  1 B 1.38
Fe1 0.5515 0.0000 0.4485  6 O 1.98-2.08
Fe2 0.0000 0.4485 0.5515  6 O 1.98-2.08
Fe3 0.4485 0.5515 0.0000  6 O 1.98-2.08
La1 0.0000 0.0000 0.0000  6 O 2.46

Fermi-level density of states = 0.000 states/eV/cell
SG = No. 155
Raw total energy = -7.66 eV per atom